(1)
This record from Alexandria via LeMat-Bulk describes a PBEsol-optimized structure of Mg3Si3Mo2O12. The functional is SCAN.

Calculated values
V in Å³/cell: 834.6
Crystal system: cubic
Calculated total energy in eV per atom: -12.111

Cell lengths 10.2730, 10.2730, 10.2730 Å; angles 109.47, 109.47, 109.47 degrees
Closest atoms and distances in Å follow each position.
Element x y z (fractional)
Mg 0.1250 0.3750 0.7500  8 O 2.28-2.35
O 0.1963 0.6030 0.9765  1 Si 1.65
O 0.9066 0.3037 0.7802  1 Si 1.65
O 0.8970 0.5934 0.8736  1 Si 1.65
O 0.5934 0.3736 0.3970  1 Si 1.65
Si 0.1250 0.8750 0.2500  4 O 1.65
Si 0.7500 0.1250 0.3750  4 O 1.65
Mo 0.0000 0.5000 0.5000  6 O 2.08
O 0.6963 0.9765 0.6030  1 Si 1.65
O 0.4066 0.6264 0.6030  1 Si 1.65
Si 0.6250 0.3750 0.2500  4 O 1.65
Mg 0.3750 0.2500 0.6250  8 O 2.28-2.35
O 0.0235 0.1264 0.7198  1 Si 1.65
O 0.4066 0.7802 0.3037  1 Si 1.65
O 0.5934 0.2198 0.6963  1 Si 1.65
Si 0.7500 0.6250 0.8750  4 O 1.65
Mg 0.6250 0.7500 0.3750  8 O 2.28-2.35
Mo 0.5000 0.5000 0.0000  6 O 2.08
O 0.7802 0.9765 0.3736  1 Si 1.65
O 0.5235 0.8037 0.8970  1 Si 1.65
O 0.7198 0.0934 0.1963  1 Si 1.65
Si 0.8750 0.1250 0.7500  4 O 1.65
Si 0.3750 0.7500 0.1250  4 O 1.65
Mo 0.0000 0.0000 0.5000  6 O 2.08
Mg 0.7500 0.3750 0.6250  8 O 2.28-2.35
O 0.0934 0.6963 0.2198  1 Si 1.65
O 0.7802 0.8037 0.9066  1 Si 1.65
O 0.3970 0.5235 0.3037  1 Si 1.65
O 0.1264 0.9066 0.1030  1 Si 1.65
O 0.5235 0.7198 0.1264  1 Si 1.65
O 0.2802 0.3736 0.9765  1 Si 1.65
O 0.7198 0.6264 0.0235  1 Si 1.65
O 0.9765 0.1030 0.1963  1 Si 1.65
Mg 0.8750 0.2500 0.1250  8 O 2.28-2.35
O 0.6264 0.1030 0.9066  1 Si 1.65
Mg 0.6250 0.8750 0.7500  8 O 2.28-2.35
Mo 0.0000 0.0000 0.0000  6 O 2.08
O 0.8970 0.3037 0.5235  1 Si 1.65
Mg 0.2500 0.1250 0.8750  8 O 2.28-2.35
Mo 0.0000 0.5000 0.0000  6 O 2.08
O 0.1030 0.4066 0.1264  1 Si 1.65
O 0.8736 0.0934 0.8970  1 Si 1.65
Mo 0.5000 0.0000 0.0000  6 O 2.08
O 0.9765 0.8736 0.2802  1 Si 1.65
O 0.3970 0.8736 0.5934  1 Si 1.65
O 0.8037 0.3970 0.0235  1 Si 1.65
O 0.3037 0.2802 0.4066  1 Si 1.65
O 0.6264 0.5235 0.2198  1 Si 1.65
Si 0.2500 0.8750 0.6250  4 O 1.65
Si 0.3750 0.6250 0.7500  4 O 1.65
Mo 0.5000 0.0000 0.5000  6 O 2.08
O 0.4765 0.2802 0.8736  1 Si 1.65
O 0.8736 0.7802 0.4765  1 Si 1.65
Si 0.6250 0.2500 0.8750  4 O 1.65
O 0.2198 0.1963 0.0934  1 Si 1.65
Mg 0.8750 0.6250 0.2500  8 O 2.28-2.35
Mg 0.7500 0.8750 0.1250  8 O 2.28-2.35
O 0.1264 0.2198 0.5235  1 Si 1.65
O 0.6030 0.4765 0.6963  1 Si 1.65
Si 0.1250 0.2500 0.3750  4 O 1.65
Mo 0.5000 0.5000 0.5000  6 O 2.08
O 0.3037 0.0235 0.3970  1 Si 1.65
O 0.6963 0.7198 0.5934  1 Si 1.65
O 0.6030 0.1264 0.4066  1 Si 1.65
O 0.0235 0.8970 0.8037  1 Si 1.65
O 0.2802 0.9066 0.8037  1 Si 1.65
O 0.1030 0.6963 0.4765  1 Si 1.65
O 0.9066 0.6030 0.6264  1 Si 1.65
O 0.4765 0.1963 0.1030  1 Si 1.65
O 0.1963 0.5934 0.7198  1 Si 1.65
Mg 0.1250 0.7500 0.8750  8 O 2.28-2.35
Si 0.2500 0.3750 0.1250  4 O 1.65
O 0.3736 0.4765 0.7802  1 Si 1.65
Mg 0.3750 0.1250 0.2500  8 O 2.28-2.35
O 0.8037 0.4066 0.2802  1 Si 1.65
O 0.3736 0.8970 0.0934  1 Si 1.65
Si 0.8750 0.7500 0.6250  4 O 1.65
O 0.2198 0.0235 0.6264  1 Si 1.65
Mg 0.2500 0.6250 0.3750  8 O 2.28-2.35
O 0.0934 0.3970 0.3736  1 Si 1.65

=====

(2)
This record from Alexandria via LeMat-Bulk describes a PBEsol-optimized structure of Sr10Mg5Mo3W2O30. The functional is SCAN.

Calculated values
V in Å³/cell: 612.3
Crystal system: triclinic
Calculated total energy in eV per atom: -16.524

Cell lengths 5.5775, 5.5864, 20.0291 Å; angles 82.10, 82.11, 89.39 degrees
Closest atoms and distances in Å follow each position.
Element x y z (fractional)
O 0.6231 0.1421 0.2139  1 Mo 1.91, 1 Mg 2.06
O 0.0832 0.0094 0.9039  1 Mo 1.91, 1 Mg 2.05
Sr 0.4510 0.9506 0.0992  8 O 2.55-2.85
Sr 0.8533 0.3524 0.2980  6 O 2.53-2.70
Sr 0.1467 0.6476 0.7020  6 O 2.53-2.70
Mo 0.0000 0.0000 0.0000  6 O 1.91-1.92
Sr 0.9493 0.4496 0.1003  6 O 2.54-2.70
O 0.0626 0.0222 0.3994  1 W 1.92, 1 Mg 2.06
O 0.1783 0.6590 0.1849  1 Mo 1.91, 1 Mg 2.06
O 0.1474 0.1714 0.1995  1 Mo 1.92, 1 Mg 2.06
O 0.6540 0.6298 0.1991  1 Mo 1.92, 1 Mg 2.06
O 0.2828 0.2098 0.5035  1 W 1.92, 1 Mg 2.06
W 0.8006 0.8005 0.3996  6 O 1.92-1.93
O 0.9838 0.4665 0.5859  1 W 1.92, 1 Mg 2.06
O 0.8217 0.3410 0.8151  1 Mo 1.91, 1 Mg 2.06
O 0.3769 0.8579 0.7861  1 Mo 1.91, 1 Mg 2.06
O 0.7459 0.7717 0.0002  1 Mo 1.92, 1 Mg 2.06
O 0.3176 0.3902 0.2956  1 Mo 1.91, 1 Mg 2.07
Sr 0.7485 0.2494 0.5009  6 O 2.52-2.70
O 0.7786 0.2593 0.9854  1 Mo 1.91, 1 Mg 2.06
O 0.8837 0.8099 0.3027  1 W 1.93, 1 Mg 2.05
O 0.5851 0.0675 0.3850  1 W 1.92, 1 Mg 2.06
O 0.5162 0.5900 0.8967  1 Mo 1.91, 1 Mg 2.05
O 0.4149 0.9325 0.6150  1 W 1.92, 1 Mg 2.06
O 0.4838 0.4100 0.1033  1 Mo 1.91, 1 Mg 2.05
O 0.8526 0.8286 0.8005  1 Mo 1.92, 1 Mg 2.06
O 0.0162 0.5335 0.4141  1 W 1.92, 1 Mg 2.06
O 0.1163 0.1901 0.6973  1 W 1.93, 1 Mg 2.05
Sr 0.6491 0.1488 0.7005  7 O 2.54-2.85
Mg 0.0993 0.0995 0.8005  6 O 2.05-2.06
Mo 0.4008 0.4005 0.1995  6 O 1.91-1.92
Sr 0.2515 0.7506 0.4991  6 O 2.52-2.70
Mg 0.9007 0.9005 0.1995  6 O 2.05-2.06
O 0.9168 0.9906 0.0961  1 Mo 1.91, 1 Mg 2.05
W 0.1994 0.1995 0.6004  6 O 1.92-1.93
Mg 0.6994 0.6996 0.6004  6 O 2.05-2.07
Mo 0.5992 0.5995 0.8005  6 O 1.91-1.92
O 0.4615 0.4212 0.6004  1 W 1.93, 1 Mg 2.05
O 0.2541 0.2283 0.9998  1 Mo 1.92, 1 Mg 2.06
Mg 0.3006 0.3004 0.3996  6 O 2.05-2.07
Sr 0.3509 0.8512 0.2995  7 O 2.54-2.85
O 0.5385 0.5788 0.3996  1 W 1.93, 1 Mg 2.05
O 0.2214 0.7407 0.0146  1 Mo 1.91, 1 Mg 2.06
O 0.3460 0.3702 0.8009  1 Mo 1.92, 1 Mg 2.06
O 0.7172 0.7902 0.4965  1 W 1.92, 1 Mg 2.06
Sr 0.0507 0.5504 0.8997  6 O 2.54-2.70
Mg 0.5000 0.5000 0.0000  6 O 2.05-2.06
O 0.9374 0.9778 0.6006  1 W 1.92, 1 Mg 2.06
O 0.6824 0.6098 0.7044  1 Mo 1.91, 1 Mg 2.07
Sr 0.5490 0.0494 0.9008  8 O 2.55-2.85

=====

(3)
This record from Alexandria via LeMat-Bulk describes a PBEsol-optimized structure of MgMoOs2. The functional is SCAN.

Calculated values
V in Å³/cell: 60.0
Crystal system: monoclinic
Calculated total energy in eV per atom: -45.775
Energy of formation from the pure elements in eV/f.u.: 0.5

Cell lengths 2.8219, 4.6402, 5.1773 Å; angles 112.21, 105.81, 90.00 degrees
Closest atoms and distances in Å follow each position.
Element x y z (fractional)
Mo 0.2700 0.8241 0.5399  7 Os 2.63-2.86, 2 Mo 2.82, 1 Mg 2.83
Os 0.7317 0.3013 0.4633  4 Os 2.62-2.82, 4 Mo 2.70-2.78, 3 Mg 2.71-2.79
Os 0.0076 0.9363 0.0152  4 Os 2.62-2.82, 3 Mo 2.63-2.86, 4 Mg 2.66-2.78
Mg 0.4908 0.4382 0.9815  7 Os 2.66-2.79, 2 Mg 2.82, 1 Mo 2.83